# 1
VASP calculation (PBE) on TmScCu4 after structural relaxation.

Results
total DFT energy (no corrections): -113.88 eV for the cell shown
calculated formation energy: -0.214 eV per atom
energy above the most stable polymorph in this dataset: 0.0447 eV per atom

a b c (Å): 7.2613 7.2613 7.2613
angles (deg): 90.00 90.00 90.00
With the nearest neighbours (Å) after each atom.
Space group F-43m (No. 216)
One atom of each set of equivalent atoms:
Tm1 0.0000 0.0000 0.0000 (multiplicity 4)  12 Cu 3.01, 4 Sc 3.14
Sc1 0.2500 0.2500 0.2500 (multiplicity 4)  12 Cu 3.01, 4 Tm 3.14
Cu1 0.1244 0.1244 0.6244 (multiplicity 16)  6 Cu 2.55-2.58

=====

# 2
VASP calculation (PBE) on Tm2ScCu9 after structural relaxation.

Results
total DFT energy (no corrections): -109.01 eV for the cell shown
calculated formation energy: -0.197 eV per atom
energy above the most stable polymorph in this dataset: 0.0000 eV per atom

a b c (Å): 5.0594 5.0594 16.5682
angles (deg): 90.00 90.00 120.00
With the nearest neighbours (Å) after each atom.
Space group P6_3/mmc (No. 194)
One atom of each set of equivalent atoms:
Tm1 0.3333 0.6667 0.0433 (multiplicity 4)  12 Cu 2.89-3.18
Sc1 0.3333 0.6667 0.2500 (multiplicity 2)  18 Cu 2.92-3.25
Cu1 0.0000 0.0000 0.0000 (multiplicity 2)  6 Cu 2.57
Cu2 0.0000 0.0000 0.2500 (multiplicity 2)  6 Cu 2.51
Cu3 0.1675 0.3349 0.6272 (multiplicity 12)  7 Cu 2.50-2.57
Cu4 0.3333 0.6667 0.7500 (multiplicity 2)  6 Cu 2.50

=====

# 3
VASP calculation (PBE) on TmScCu4 after structural relaxation.

Results
total DFT energy (no corrections): -57.48 eV for the cell shown
calculated formation energy: -0.259 eV per atom
energy above the most stable polymorph in this dataset: 0.0000 eV per atom

a b c (Å): 4.2135 6.5211 7.2288
angles (deg): 90.00 90.00 90.00
With the nearest neighbours (Å) after each atom.
Space group Imm2 (No. 44)
One atom of each set of equivalent atoms:
Tm1 0.0000 0.0000 0.0000 (multiplicity 2)  12 Cu 2.84-3.07
Sc1 0.0000 0.5000 0.0953 (multiplicity 2)  12 Cu 2.89-3.05
Cu1 0.0000 0.1959 0.3863 (multiplicity 4)  4 Cu 2.45-2.56
Cu2 0.0000 0.2990 0.7140 (multiplicity 4)  4 Cu 2.45-2.62

=====

# 4
VASP calculation (PBE) on Tm4ScCu5 after structural relaxation.

Results
total DFT energy (no corrections): -47.58 eV for the cell shown
calculated formation energy: -0.288 eV per atom

a b c (Å): 3.3626 3.3626 17.1334
angles (deg): 90.00 90.00 90.00
With the nearest neighbours (Å) after each atom.
Space group P4/mmm (No. 123)
One atom of each set of equivalent atoms:
Tm1 0.0000 0.0000 0.1019 (multiplicity 2)  8 Cu 2.95
Tm2 0.0000 0.0000 0.3053 (multiplicity 2)  8 Cu 2.94-2.98
Sc1 0.0000 0.0000 0.5000 (multiplicity 1)  8 Cu 2.83
Cu1 0.5000 0.5000 0.0000 (multiplicity 1)  8 Tm 2.95
Cu2 0.5000 0.5000 0.2040 (multiplicity 2)  8 Tm 2.94-2.95
Cu3 0.5000 0.5000 0.4102 (multiplicity 2)  4 Sc 2.83, 4 Tm 2.98, 1 Cu 3.08

=====

# 5
VASP calculation (PBE) on TmSc3Cu4 after structural relaxation.

Results
total DFT energy (no corrections): -42.06 eV for the cell shown
calculated formation energy: -0.277 eV per atom

a b c (Å): 3.3008 3.3008 13.1581
angles (deg): 90.00 90.00 90.00
With the nearest neighbours (Å) after each atom.
Space group P4/mmm (No. 123)
One atom of each set of equivalent atoms:
Tm1 0.0000 0.0000 0.0000 (multiplicity 1)  8 Cu 2.96, 4 Tm 3.30
Sc1 0.0000 0.0000 0.2560 (multiplicity 2)  8 Cu 2.80-2.83
Sc2 0.0000 0.0000 0.5000 (multiplicity 1)  8 Cu 2.84
Cu1 0.5000 0.5000 0.1380 (multiplicity 2)  4 Sc 2.80, 4 Tm 2.96
Cu2 0.5000 0.5000 0.3771 (multiplicity 2)  8 Sc 2.83-2.84, 1 Cu 3.15

=====

# 6
VASP calculation (PBE) on TmScCu4 after structural relaxation.

Results
total DFT energy (no corrections): -28.61 eV for the cell shown
calculated formation energy: -0.237 eV per atom
energy above the most stable polymorph in this dataset: 0.0219 eV per atom

a b c (Å): 3.3734 4.8685 6.7692
angles (deg): 109.97 90.06 110.22
With the nearest neighbours (Å) after each atom.
Space group P-1 (No. 2)
One atom of each set of equivalent atoms:
Tm1 0.0000 0.0000 0.0000 (multiplicity 1)  10 Cu 2.79-2.87
Sc1 0.0000 0.0000 0.5000 (multiplicity 1)  10 Cu 2.76-2.77
Cu1 0.3250 0.6495 0.6520 (multiplicity 2)  4 Cu 2.63-2.70, 3 Sc 2.76-2.77, 2 Tm 2.86-2.87
Cu2 0.3272 0.6542 0.1774 (multiplicity 2)  5 Cu 2.69-2.96, 2 Sc 2.76, 3 Tm 2.79-2.86

=====

# 7
VASP calculation (PBE) on TmSc4Cu5 after structural relaxation.

Results
total DFT energy (no corrections): -53.07 eV for the cell shown
calculated formation energy: -0.280 eV per atom

a b c (Å): 3.2676 3.2676 16.6635
angles (deg): 90.00 90.00 90.00
With the nearest neighbours (Å) after each atom.
Space group P4/mmm (No. 123)
One atom of each set of equivalent atoms:
Tm1 0.0000 0.0000 0.0000 (multiplicity 1)  8 Cu 2.95, 4 Tm 3.27
Sc1 0.0000 0.0000 0.2052 (multiplicity 2)  8 Cu 2.80-2.83
Sc2 0.0000 0.0000 0.4018 (multiplicity 2)  8 Cu 2.83-2.84
Cu1 0.5000 0.5000 0.1102 (multiplicity 2)  4 Sc 2.80, 4 Tm 2.95
Cu2 0.5000 0.5000 0.3032 (multiplicity 2)  8 Sc 2.83-2.84
Cu3 0.5000 0.5000 0.5000 (multiplicity 1)  8 Sc 2.83

=====

# 8
VASP calculation (PBE) on Tm2Sc2Cu3 after structural relaxation.

Results
total DFT energy (no corrections): -104.85 eV for the cell shown
calculated formation energy: -0.151 eV per atom

a b c (Å): 4.6437 4.6437 23.3745
angles (deg): 90.00 90.00 120.00
With the nearest neighbours (Å) after each atom.
Space group R-3m (No. 166, hexagonal axes)
One atom of each set of equivalent atoms:
Tm1 0.0000 0.0000 0.1237 (multiplicity 6)  5 Cu 2.88-3.07
Sc1 0.0000 0.0000 0.3735 (multiplicity 6)  7 Cu 2.77-2.84
Cu1 0.0000 0.0000 0.0000 (multiplicity 3)  6 Sc 2.84, 2 Tm 2.89
Cu2 0.0000 0.0000 0.2551 (multiplicity 6)  4 Sc 2.77-2.82, 4 Tm 2.88-3.07